Here is an optimized crystal structure of TlCoRe2 from the Alexandria database. Energies are from PBE.

- Space-group type: Imm2
- DOS at the Fermi energy: 3.84 states/eV/f.u.
- ΔE to the lowest computed polymorph: 278 meV/atom
- Energy of formation: 0.7792 eV per atom

Cell: 4.792 4.792 4.792 Å, 130.86 129.20 73.37°
Element x y z (fractional)
Tl  0.000  0.000  0.000
Co  0.753  0.253  0.500
Re  0.253  0.753  0.500
Re  0.464  0.464  0.000